#one
A plane-wave DFT calculation with PBE was carried out for a relaxed AcDy3Ag2 crystal.

Output
density of states at the Fermi level	13.24	states/eV per cell
space group	C2/m

Cell lengths 5.3754, 9.3652, 8.8542 Å; angles 123.20, 90.00, 106.68 degrees
Sites, in units of the cell vectors:
Ac: 0.8662 0.7324 0.9261
Dy: 0.9357 0.8713 0.5926
Ag: 0.2221 0.4441 0.8288
Dy: 0.3841 0.7683 0.2860
Dy: 0.3035 0.6069 0.6002
Dy: 0.6159 0.2317 0.7140
Ag: 0.4981 0.9962 0.8399
Dy: 0.6965 0.3931 0.3998
Ac: 0.1338 0.2676 0.0739
Ag: 0.7779 0.5559 0.1712
Dy: 0.0643 0.1287 0.4074
Ag: 0.5019 0.0038 0.1601

#two
A plane-wave DFT calculation with PBE was carried out for a relaxed AcDy3Ag2 crystal.

Output
density of states at the Fermi level	5.82	states/eV per cell
space group	P4/mmm

Cell lengths 3.6781, 3.6781, 12.6648 Å; angles 90.00, 90.00, 90.00 degrees
Sites, in units of the cell vectors:
Dy: 0.0000 0.0000 0.2819
Dy: 0.0000 0.0000 0.7181
Dy: 0.0000 0.0000 0.0000
Ag: 0.5000 0.5000 0.1432
Ac: 0.5000 0.5000 0.5000
Ag: 0.5000 0.5000 0.8568

Stability summary - winner: #two; margin: 54 meV/atom.

#one
A plane-wave DFT calculation with PBE was carried out for a relaxed AcDyAg2 crystal.

Output
density of states at the Fermi level	3.27	states/eV per cell
space group	Fm-3m

Cell lengths 5.3986, 5.3986, 5.3986 Å; angles 60.00, 60.00, 60.00 degrees
Sites, in units of the cell vectors:
Dy: 0.0000 0.0000 0.0000
Ac: 0.5000 0.5000 0.5000
Ag: 0.7500 0.7500 0.7500
Ag: 0.2500 0.2500 0.2500

#two
A plane-wave DFT calculation with PBE was carried out for a relaxed AcDyAg2 crystal.

Output
density of states at the Fermi level	1.94	states/eV per cell
space group	P4/mmm

Cell lengths 3.7700, 3.7700, 7.6707 Å; angles 90.00, 90.00, 90.00 degrees
Sites, in units of the cell vectors:
Ag: 0.0000 0.0000 0.7871
Dy: 0.5000 0.5000 0.0000
Ac: 0.5000 0.5000 0.5000
Ag: 0.0000 0.0000 0.2129

Stability summary - winner: #two; margin: 45 meV/atom.

#one
A plane-wave DFT calculation with PBE was carried out for a relaxed AcDyAg crystal.

Output
density of states at the Fermi level	3.72	states/eV per cell
space group	I4mm

Cell lengths 3.8004, 3.8004, 7.0277 Å; angles 105.69, 105.69, 90.00 degrees
Sites, in units of the cell vectors:
Ag: 0.6854 0.6854 0.3708
Ac: 0.0116 0.0116 0.0233
Dy: 0.3029 0.3029 0.6059

#two
A plane-wave DFT calculation with PBE was carried out for a relaxed AcDyAg crystal.

Output
density of states at the Fermi level	6.03	states/eV per cell
space group	P4/nmm

Cell lengths 4.9954, 4.9954, 7.7388 Å; angles 90.00, 90.00, 90.00 degrees
Sites, in units of the cell vectors:
Ac: 0.8136 0.8665 0.5458
Ag: 0.3136 0.3664 0.6986
Ac: 0.3136 0.3665 0.2934
Dy: 0.3136 0.8665 0.9196
Ag: 0.8136 0.8664 0.1407
Dy: 0.8135 0.3665 0.9196

#three
A plane-wave DFT calculation with PBE was carried out for a relaxed AcDyAg crystal.

Output
density of states at the Fermi level	3.57	states/eV per cell
space group	P-6m2

Cell lengths 4.0932, 5.1887, 5.1887 Å; angles 120.00, 90.00, 90.00 degrees
Sites, in units of the cell vectors:
Ac: 0.0000 0.0000 0.0000
Ag: 0.5000 0.3333 0.6667
Dy: 0.5000 0.6667 0.3333

Stability summary - winner: #two; margin: 21 meV/atom.

#one
A plane-wave DFT calculation with PBE was carried out for a relaxed Ac2ErAg crystal.

Output
density of states at the Fermi level	4.14	states/eV per cell
space group	R-3m

Cell lengths 3.7618, 3.7618, 12.4041 Å; angles 81.28, 81.28, 60.00 degrees
Sites, in units of the cell vectors:
Ag: 0.0000 0.0000 0.0000
Er: 0.5000 0.5000 0.5000
Ac: 0.9144 0.9144 0.2568
Ac: 0.0856 0.0856 0.7432

#two
A plane-wave DFT calculation with PBE was carried out for a relaxed Ac2ErAg crystal.

Output
density of states at the Fermi level	5.62	states/eV per cell
space group	P4/mmm

Cell lengths 3.9602, 3.9602, 8.8523 Å; angles 90.00, 90.00, 90.00 degrees
Sites, in units of the cell vectors:
Ac: 0.0000 0.0000 0.7770
Er: 0.5000 0.5000 0.5000
Ac: 0.0000 0.0000 0.2230
Ag: 0.5000 0.5000 0.0000

Stability summary - winner: #two; margin: 386 meV/atom.

#one
A plane-wave DFT calculation with PBE was carried out for a relaxed AcErAg2 crystal.

Output
density of states at the Fermi level	1.77	states/eV per cell
space group	P4/mmm

Cell lengths 3.7434, 3.7434, 7.6789 Å; angles 90.00, 90.00, 90.00 degrees
Sites, in units of the cell vectors:
Ac: 0.5000 0.5000 0.5000
Er: 0.5000 0.5000 0.0000
Ag: 0.0000 0.0000 0.2105
Ag: 0.0000 0.0000 0.7895

#two
A plane-wave DFT calculation with PBE was carried out for a relaxed AcErAg2 crystal.

Output
density of states at the Fermi level	2.22	states/eV per cell
space group	R-3m

Cell lengths 5.1343, 5.1343, 5.7663 Å; angles 63.56, 63.56, 60.00 degrees
Sites, in units of the cell vectors:
Ag: 0.7803 0.7803 0.6591
Er: 0.5000 0.5000 0.5000
Ac: 0.0000 0.0000 0.0000
Ag: 0.2197 0.2197 0.3409

Stability summary - winner: #one; margin: 45 meV/atom.

#one
A plane-wave DFT calculation with PBE was carried out for a relaxed AcErZnAg crystal.

Output
density of states at the Fermi level	1.85	states/eV per cell
space group	F-43m

Cell lengths 5.3368, 5.3368, 5.3368 Å; angles 60.00, 60.00, 60.00 degrees
Sites, in units of the cell vectors:
Zn: 0.0000 0.0000 0.0000
Ac: 0.7500 0.7500 0.7500
Ag: 0.5000 0.5000 0.5000
Er: 0.2500 0.2500 0.2500

#two
A plane-wave DFT calculation with PBE was carried out for a relaxed AcErZnAg crystal.

Output
density of states at the Fermi level	3.55	states/eV per cell
space group	P4mm

Cell lengths 3.7278, 3.7278, 7.5909 Å; angles 90.00, 90.00, 90.00 degrees
Sites, in units of the cell vectors:
Ac: 0.5000 0.5000 0.1146
Ag: 0.0000 0.0000 0.8138
Zn: 0.0000 0.0000 0.3956
Er: 0.5000 0.5000 0.6040

Stability summary - winner: #two; margin: 42 meV/atom.

#one
A plane-wave DFT calculation with PBE was carried out for a relaxed AcEu2Ag crystal.

Output
density of states at the Fermi level	3.97	states/eV per cell
space group	P4/mmm

Cell lengths 5.7850, 4.8817, 4.8817 Å; angles 90.00, 90.00, 90.00 degrees
Site moments in Bohr magnetons follow the coordinates.
Sites, in units of the cell vectors:
Ac: 0.5000 0.5000 0.5000  0.07
Ag: 0.5000 0.0000 0.0000  0.01
Eu: 0.0000 0.5000 0.0000  6.95
Eu: 0.0000 0.0000 0.5000  6.95

#two
A plane-wave DFT calculation with PBE was carried out for a relaxed AcEu2Ag crystal.

Output
density of states at the Fermi level	13.31	states/eV per cell
space group	P4/mmm

Cell lengths 3.8804, 3.8804, 9.4508 Å; angles 90.00, 90.00, 90.00 degrees
Site moments in Bohr magnetons follow the coordinates.
Sites, in units of the cell vectors:
Ac: 0.5000 0.5000 0.5000  0.05
Eu: 0.0000 0.0000 0.8059  6.92
Eu: 0.0000 0.0000 0.1941  6.92
Ag: 0.5000 0.5000 0.0000  0.02

#three
A plane-wave DFT calculation with PBE was carried out for a relaxed AcEu2Ag crystal.

Output
density of states at the Fermi level	13.74	states/eV per cell
space group	R-3m

Cell lengths 3.8534, 3.8534, 12.1603 Å; angles 80.88, 80.88, 60.00 degrees
Site moments in Bohr magnetons follow the coordinates.
Sites, in units of the cell vectors:
Ac: 0.0000 0.0000 0.0000  0.03
Ag: 0.5000 0.5000 0.5000  0.01
Eu: 0.8961 0.8961 0.3117  7.00
Eu: 0.1039 0.1039 0.6883  7.00

#four
A plane-wave DFT calculation with PBE was carried out for a relaxed AcEu2Ag crystal.

Output
density of states at the Fermi level	5.32	states/eV per cell
space group	Fm-3m

Cell lengths 5.7611, 5.7611, 5.7611 Å; angles 60.00, 60.00, 60.00 degrees
Site moments in Bohr magnetons follow the coordinates.
Sites, in units of the cell vectors:
Eu: 0.7500 0.7500 0.7500  6.95
Eu: 0.2500 0.2500 0.2500  6.95
Ac: 0.0000 0.0000 0.0000  0.27
Ag: 0.5000 0.5000 0.5000  0.01

Stability summary - winner: #two; margin: 134 meV/atom.

#one
A plane-wave DFT calculation with PBE was carried out for a relaxed AcEuAg2 crystal.

Output
density of states at the Fermi level	11.24	states/eV per cell
space group	Fm-3m

Cell lengths 5.5021, 5.5021, 5.5021 Å; angles 60.00, 60.00, 60.00 degrees
Site moments in Bohr magnetons follow the coordinates.
Sites, in units of the cell vectors:
Ag: 0.7500 0.7500 0.7500  0.00
Eu: 0.0000 0.0000 0.0000  6.85
Ac: 0.5000 0.5000 0.5000  0.01
Ag: 0.2500 0.2500 0.2500  0.00

#two
A plane-wave DFT calculation with PBE was carried out for a relaxed AcEuAg2 crystal.

Output
density of states at the Fermi level	10.79	states/eV per cell
space group	P4/mmm

Cell lengths 3.8751, 5.5215, 5.5215 Å; angles 90.00, 90.00, 90.00 degrees
Site moments in Bohr magnetons follow the coordinates.
Sites, in units of the cell vectors:
Ag: 0.0000 0.0000 0.5000  0.00
Ac: 0.5000 0.0000 0.0000  -0.01
Eu: 0.5000 0.5000 0.5000  6.89
Ag: 0.0000 0.5000 0.0000  0.00

Stability summary - winner: #one; margin: 6 meV/atom.